# MnMo3O

A relaxed MnMo3O crystal (PBE+U, Alexandria via LeMat-Bulk).

abc: 5.063 5.063 5.063
angles: 90.00 90.00 90.00
Atoms (fractional coordinates):
1 Mn 0.000 0.000 0.000
2 Mo 0.000 0.000 0.500
3 Mo 0.500 0.000 0.000
4 Mo 0.000 0.500 0.000
5 O 0.500 0.500 0.500

Calculated values
- E_tot (eV/atom) = -4.61